[1]
## Rb3Tb2BiTe6 (PBE)

Data for a geometry-optimized Rb3Tb2BiTe6 structure.

volume: 38.83 Å³/atom
ΔE_f (raw): -109.0 kJ/mol of atoms
space group: C2/m (12)
raw total energy: -4.037 eV/atom
total magnetization: 0.00 μB per formula unit
N(E_F): 0.0 states/eV/f.u.

Unit cell a=7.932 b=7.932 c=8.952 alpha=98.49 beta=98.49 gamma=120.00
Sites, in units of the cell vectors:
Rb 0.000 0.000 0.000
Rb 0.335 0.665 0.000
Rb 0.665 0.335 0.000
Tb 0.167 0.833 0.500
Tb 0.833 0.167 0.500
Bi 0.500 0.500 0.500
Te 0.096 0.433 0.300
Te 0.229 0.229 0.700
Te 0.433 0.096 0.300
Te 0.567 0.904 0.700
Te 0.771 0.771 0.300
Te 0.904 0.567 0.700

---

[2]
## RbTc3Bi (PBE)

Data for a geometry-optimized RbTc3Bi structure.

volume: 28.98 Å³/atom
excess energy over the best structure of this formula in the dataset: 0.000 eV/atom
space group: Pm-3m (221)
raw total energy: -5.079 eV/atom
total magnetization: 6.88 μB per formula unit
N(E_F): 4.8 states/eV/f.u.

Unit cell a=5.252 b=5.252 c=5.252 alpha=90.00 beta=90.00 gamma=90.00
Sites, in units of the cell vectors:
Rb 0.000 0.000 0.000
Tc 0.000 0.500 0.500
Tc 0.500 0.000 0.500
Tc 0.500 0.500 0.000
Bi 0.500 0.500 0.500

---

[3]
## RbTcBi (PBE)

Data for a geometry-optimized RbTcBi structure.

volume: 35.96 Å³/atom
excess energy over the best structure of this formula in the dataset: 0.000 eV/atom
space group: C2/m (12)
raw total energy: -4.932 eV/atom
total magnetization: 0.00 μB per formula unit
N(E_F): 1.8 states/eV/f.u.

Unit cell a=7.546 b=4.378 c=13.061 alpha=90.00 beta=90.65 gamma=90.00
Sites, in units of the cell vectors:
Rb 0.171 0.000 0.332
Rb 0.329 0.500 0.668
Rb 0.671 0.500 0.332
Rb 0.829 0.000 0.668
Tc 0.167 0.000 0.989
Tc 0.333 0.500 0.011
Tc 0.667 0.500 0.989
Tc 0.833 0.000 0.011
Bi 0.001 0.500 0.130
Bi 0.499 0.000 0.870
Bi 0.501 0.000 0.130
Bi 0.999 0.500 0.870

---

[4]
## RbTcBi (PBE)

Data for a geometry-optimized RbTcBi structure.

volume: 35.17 Å³/atom
excess energy over the best structure of this formula in the dataset: 0.211 eV/atom
space group: C2/m (12)
raw total energy: -4.720 eV/atom
total magnetization: 0.00 μB per formula unit
N(E_F): 1.7 states/eV/f.u.

Unit cell a=14.754 b=4.383 c=6.767 alpha=90.00 beta=105.33 gamma=90.00
Sites, in units of the cell vectors:
Rb 0.118 0.000 0.376
Rb 0.382 0.500 0.624
Rb 0.618 0.500 0.376
Rb 0.882 0.000 0.624
Tc 0.216 0.000 0.955
Tc 0.284 0.500 0.045
Tc 0.716 0.500 0.955
Tc 0.784 0.000 0.045
Bi 0.090 0.500 0.860
Bi 0.410 0.000 0.140
Bi 0.590 0.000 0.860
Bi 0.910 0.500 0.140